Computed, not measured: a relaxed structure of GaPBr at the PBE level of DFT.

Cell lengths 3.949, 3.949, 6.030 Å; angles 108.46, 108.46, 59.62 degrees
Sites, in units of the cell vectors:
Ga (0.000, 0.000, 0.000)
P (0.296, 0.296, 0.884)
Br (0.269, 0.269, 0.411)

Properties
Polymorph energy (0 for the lowest one) = 6.44 kcal/mol of atoms
V = 76 Å³/cell
Raw formation energy = -0.220 eV per atom